1.
VASP calculation (GGA-PBE) on a geometry-optimized CaCd2HO structure.

Cell: 3.915 3.915 6.246 Å, 90.00 90.00 90.00°
Positions (direct):
Ca  0.000  0.000  0.000
Cd  0.000  0.500  0.500
Cd  0.500  0.000  0.500
H  0.000  0.000  0.500
O  0.500  0.500  0.000

Output
Its total magnetization is 0.00 μB/f.u. The value obtained for the total energy is -2.694 eV/atom.

---

2.
VASP calculation (GGA-PBE) on a geometry-optimized Ca2CdHPb structure.

Cell: 4.923 4.923 4.686 Å, 90.00 90.00 90.00°
Positions (direct):
Ca  0.000  0.500  0.000
Ca  0.500  0.000  0.000
Cd  0.000  0.000  0.500
H  0.000  0.000  0.000
Pb  0.500  0.500  0.500

Output
Its total magnetization is 0.00 μB/f.u. The value obtained for the total energy is -2.776 eV/atom.

---

3.
VASP calculation (GGA-PBE) on a geometry-optimized CaCdH4Pd2 structure.

Cell: 3.451 3.451 7.721 Å, 90.00 90.00 90.00°
Positions (direct):
Ca  0.000  0.000  0.000
Cd  0.000  0.000  0.500
H  0.000  0.500  0.211
H  0.000  0.500  0.789
H  0.500  0.000  0.211
H  0.500  0.000  0.789
Pd  0.500  0.500  0.281
Pd  0.500  0.500  0.719

Output
Its total magnetization is 0.00 μB/f.u. The value obtained for the total energy is -3.665 eV/atom.

---

4.
VASP calculation (GGA-PBE) on a geometry-optimized Ca2CdHPd6 structure.

Cell: 5.687 5.687 7.285 Å, 113.06 113.06 59.90°
Positions (direct):
Ca  0.226  0.226  0.180
Ca  0.774  0.774  0.820
Cd  0.500  0.500  0.000
H  0.000  0.000  0.500
Pd  0.226  0.226  0.668
Pd  0.227  0.724  0.673
Pd  0.276  0.773  0.327
Pd  0.724  0.227  0.673
Pd  0.773  0.276  0.327
Pd  0.774  0.774  0.332

Output
Its total magnetization is 0.00 μB/f.u. The value obtained for the total energy is -4.396 eV/atom.

---

5.
VASP calculation (GGA-PBE) on a geometry-optimized Rb2CaCdH6 structure.

Cell: 4.381 4.381 8.609 Å, 90.00 90.00 90.00°
Positions (direct):
Rb  0.000  0.000  0.233
Rb  0.000  0.000  0.767
Ca  0.500  0.500  0.500
Cd  0.500  0.500  0.000
H  0.000  0.500  0.000
H  0.000  0.500  0.500
H  0.500  0.000  0.000
H  0.500  0.000  0.500
H  0.500  0.500  0.230
H  0.500  0.500  0.770

Output
Its total magnetization is 0.00 μB/f.u. The value obtained for the total energy is -2.701 eV/atom.

---

6.
VASP calculation (GGA-PBE) on a geometry-optimized CaCdH8Rh2 structure.

Cell: 6.190 6.190 6.190 Å, 47.38 47.38 47.38°
Positions (direct):
Ca  0.000  0.000  0.000
Cd  0.500  0.500  0.500
H  0.054  0.895  0.398
H  0.105  0.602  0.946
H  0.301  0.301  0.301
H  0.398  0.054  0.895
H  0.602  0.946  0.105
H  0.699  0.699  0.699
H  0.895  0.398  0.054
H  0.946  0.105  0.602
Rh  0.198  0.198  0.198
Rh  0.802  0.802  0.802

Output
Its total magnetization is 0.00 μB/f.u. The value obtained for the total energy is -3.856 eV/atom.

---

7.
VASP calculation (GGA-PBE) on a geometry-optimized Ca2CdHRh structure.

Cell: 5.127 5.127 3.686 Å, 90.00 90.00 90.00°
Positions (direct):
Ca  0.000  0.500  0.000
Ca  0.500  0.000  0.000
Cd  0.000  0.000  0.500
H  0.500  0.500  0.000
Rh  0.500  0.500  0.500

Output
Its total magnetization is 0.00 μB/f.u. The value obtained for the total energy is -3.537 eV/atom.

---

8.
VASP calculation (GGA-PBE) on a geometry-optimized CaSc2CdH structure.

Cell: 4.567 4.567 4.907 Å, 90.00 90.00 90.00°
Positions (direct):
Ca  0.000  0.000  0.000
Sc  0.000  0.500  0.500
Sc  0.500  0.000  0.500
Cd  0.500  0.500  0.000
H  0.000  0.000  0.500

Output
Its total magnetization is 1.53 μB/f.u. The value obtained for the total energy is -3.952 eV/atom. For the polymorph energy (0 for the lowest one), the calculation gives 0 kJ/mol of formula units.

---

9.
VASP calculation (GGA-PBE) on a geometry-optimized CaSc2CdH structure.

Cell: 5.638 5.638 3.717 Å, 90.00 90.00 90.00°
Positions (direct):
Ca  0.000  0.000  0.000
Sc  0.000  0.500  0.000
Sc  0.500  0.000  0.000
Cd  0.500  0.500  0.500
H  0.000  0.000  0.500

Output
Its total magnetization is 1.30 μB/f.u. The value obtained for the total energy is -3.063 eV/atom. For the polymorph energy (0 for the lowest one), the calculation gives 429 kJ/mol of formula units.

---

10.
VASP calculation (GGA-PBE) on a geometry-optimized Ca2CdSnH structure.

Cell: 4.874 4.874 4.626 Å, 90.00 90.00 90.00°
Positions (direct):
Ca  0.000  0.500  0.000
Ca  0.500  0.000  0.000
Cd  0.000  0.000  0.500
Sn  0.500  0.500  0.500
H  0.000  0.000  0.000

Output
Its total magnetization is 0.00 μB/f.u. The value obtained for the total energy is -2.888 eV/atom. For the polymorph energy (0 for the lowest one), the calculation gives 0 kJ/mol of formula units.

---

11.
VASP calculation (GGA-PBE) on a geometry-optimized Ca2CdSnH structure.

Cell: 6.146 6.146 3.968 Å, 90.00 90.00 90.00°
Positions (direct):
Ca  0.000  0.500  0.000
Ca  0.500  0.000  0.000
Cd  0.000  0.000  0.500
Sn  0.500  0.500  0.000
H  0.500  0.500  0.500

Output
Its total magnetization is 0.00 μB/f.u. The value obtained for the total energy is -2.389 eV/atom. For the polymorph energy (0 for the lowest one), the calculation gives 241 kJ/mol of formula units.

---

12.
VASP calculation (GGA-PBE) on a geometry-optimized CaCdSnH structure.

Cell: 4.303 4.303 9.143 Å, 90.00 90.00 90.00°
Positions (direct):
Ca  0.250  0.250  0.111
Ca  0.750  0.750  0.889
Cd  0.250  0.750  0.500
Cd  0.750  0.250  0.500
Sn  0.250  0.250  0.723
Sn  0.750  0.750  0.277
H  0.250  0.750  0.000
H  0.750  0.250  0.000

Output
Its total magnetization is 0.00 μB/f.u. The value obtained for the total energy is -2.910 eV/atom.

---

13.
VASP calculation (GGA-PBE) on a geometry-optimized SrCa2CdH structure.

Cell: 5.107 5.107 5.301 Å, 90.00 90.00 90.00°
Positions (direct):
Sr  0.000  0.000  0.000
Ca  0.000  0.500  0.500
Ca  0.500  0.000  0.500
Cd  0.500  0.500  0.000
H  0.000  0.000  0.500

Output
Its total magnetization is 0.00 μB/f.u. The value obtained for the total energy is -2.233 eV/atom.

---

14.
VASP calculation (GGA-PBE) on a geometry-optimized Sr2CaCdH structure.

Cell: 5.574 5.574 4.744 Å, 90.00 90.00 90.00°
Positions (direct):
Sr  0.000  0.500  0.000
Sr  0.500  0.000  0.000
Ca  0.000  0.000  0.500
Cd  0.500  0.500  0.500
H  0.000  0.000  0.000

Output
Its total magnetization is 0.00 μB/f.u. The value obtained for the total energy is -2.160 eV/atom. For the polymorph energy (0 for the lowest one), the calculation gives 0 kJ/mol of formula units.